(1)
## Co2SiMoH (PBE-GGA)

Data for a relaxed structure of Co2SiMoH.

Structure (CIF):
```
data_Co2SiMoH
_chemical_formula_sum 'Co2 Si1 Mo1 H1'
_cell_length_a 3.610
_cell_length_b 3.610
_cell_length_c 3.897
_cell_angle_alpha 90.00
_cell_angle_beta 90.00
_cell_angle_gamma 90.00
_space_group_name_H-M_alt 'P 4/m m m'
_space_group_IT_number 123
_space_group_name_Hall '-P 4 2'
loop_
_atom_site_label
_atom_site_type_symbol
_atom_site_fract_x
_atom_site_fract_y
_atom_site_fract_z
Co1 Co 0.000 0.500 0.000
Si1 Si 0.000 0.000 0.500
Mo1 Mo 0.500 0.500 0.500
H1 H 0.500 0.500 0.000
```

V, A^3/atom: 10.158
Total DFT energy (no corrections), eV per atom: -6.8716

---

(2)
## CoSnMo2H (PBE-GGA)

Data for a relaxed structure of CoSnMo2H.

Structure (CIF):
```
data_CoSnMo2H
_chemical_formula_sum 'Co1 Sn1 Mo2 H1'
_cell_length_a 3.855
_cell_length_b 3.855
_cell_length_c 4.354
_cell_angle_alpha 90.00
_cell_angle_beta 90.00
_cell_angle_gamma 90.00
_space_group_name_H-M_alt 'P 4/m m m'
_space_group_IT_number 123
_space_group_name_Hall '-P 4 2'
loop_
_atom_site_label
_atom_site_type_symbol
_atom_site_fract_x
_atom_site_fract_y
_atom_site_fract_z
Co1 Co 0.000 0.000 0.000
Sn1 Sn 0.500 0.500 0.000
Mo1 Mo 0.000 0.500 0.500
H1 H 0.000 0.000 0.500
```

V, A^3/atom: 12.942
Total DFT energy (no corrections), eV per atom: -7.0444

---

Question: Which of these has the lowest total DFT energy (no corrections)?
Answer: CoSnMo2H